A relaxed structure of Dy3Er2Cd3. Source: Alexandria via LeMat-Bulk, functional PBE-GGA.

```
data_Dy3Er2Cd3
_cell_length_a 3.7120
_cell_length_b 5.3346
_cell_length_c 22.0984
_cell_angle_alpha 90.00
_cell_angle_beta 90.00
_cell_angle_gamma 90.00
_space_group_name_H-M_alt 'I m m m'
_space_group_IT_number 71
_space_group_name_Hall '-I 2 2'
loop_
_atom_site_label
_atom_site_fract_x
_atom_site_fract_y
_atom_site_fract_z
Dy1 0.0000 0.0000 0.0000
Dy2 0.0000 0.5000 0.1237
Er1 0.0000 0.0000 0.2339
Cd1 0.0000 0.0000 0.5000
Cd2 0.0000 0.5000 0.3822
```

Calculated values
Calculated total energy, Ha/atom: -0.127
Calculated volume, Å³/cell: 437.6

***

A relaxed structure of CdIF2. Source: Alexandria via LeMat-Bulk, functional PBE-GGA.

```
data_CdIF2
_cell_length_a 3.4961
_cell_length_b 3.4961
_cell_length_c 29.3344
_cell_angle_alpha 90.00
_cell_angle_beta 90.00
_cell_angle_gamma 120.00
_space_group_name_H-M_alt 'R -3 m'
_space_group_IT_number 166
_space_group_name_Hall '-R 3 2"'
loop_
_atom_site_label
_atom_site_fract_x
_atom_site_fract_y
_atom_site_fract_z
Cd1 0.0000 0.0000 0.0000
I1 0.0000 0.0000 0.5000
F1 0.0000 0.0000 0.3688
```

Calculated values
Polymorph energy (0 for the lowest one), meV per atom: 0.0
Formation energy from raw total energies, eV per formula unit: -6.0
Calculated total energy, Ha/atom: -0.112
Calculated volume, Å³/cell: 310.5

***

A relaxed structure of Sc2SbRu. Source: Alexandria via LeMat-Bulk, functional PBE-GGA.

```
data_Sc2SbRu
_cell_length_a 4.3629
_cell_length_b 4.3629
_cell_length_c 8.0226
_cell_angle_alpha 90.00
_cell_angle_beta 90.00
_cell_angle_gamma 90.00
_space_group_name_H-M_alt 'I 4/m m m'
_space_group_IT_number 139
_space_group_name_Hall '-I 4 2'
loop_
_atom_site_label
_atom_site_fract_x
_atom_site_fract_y
_atom_site_fract_z
Sc1 0.0000 0.5000 0.2500
Sb1 0.0000 0.0000 0.0000
Ru1 0.0000 0.0000 0.5000
```

Calculated values
Formation energy from raw total energies, eV per formula unit: -2.2
Calculated total energy, Ha/atom: -0.259
Calculated volume, Å³/cell: 152.7